A plane-wave DFT calculation with PBE-GGA was carried out for HoPu2Hf after structural relaxation.

```
4
Lattice="3.2774 0.0000 0.0000 0.0000 3.2774 0.0000 0.0000 0.0000 9.6506" Properties=species:S:1:pos:R:3 pbc="T T T"
Ho 0.0000 0.0000 0.0000
Pu 1.6387 1.6387 2.5834
Pu 1.6387 1.6387 7.0672
Hf 0.0000 0.0000 4.8253
```

Results
ΔE_f	0.17	eV/atom
ΔE to the lowest computed polymorph	0	kJ/mol of formula units
density of states at the Fermi level	12.2	states/eV per cell
electronic total energy	-10.633	eV/atom


A plane-wave DFT calculation with PBE-GGA was carried out for CdPbCl2 after structural relaxation.

```
4
Lattice="1.8788 1.0847 9.4540 -1.8788 1.0847 9.4540 0.0000 -2.1694 9.4540" Properties=species:S:1:pos:R:3 pbc="T T T"
Cd 0.0000 0.0000 0.0000
Pb 0.0000 0.0000 14.1810
Cl 0.0000 0.0000 11.1299
Cl 0.0000 0.0000 17.2322
```

Results
formation energy (no corrections)	-0.61	eV per atom
ΔE to the lowest computed polymorph	34	kJ/mol of formula units
density of states at the Fermi level	0.8	states/eV per cell
electronic total energy	-2.692	eV/atom


It is found that the volume values, taken in the order of the records, are 103.7 115.6 Å³/cell.